VASP calculation (PBE-GGA) on an optimized crystal structure of Ba4MgRh4O12.

**DOS(E_F)**: 17.8 states/eV/f.u.
**Magnetization**: 1.64 μB/f.u.
**Space-group type**: P-6m2
**E_form (uncorrected)**: -149 kJ per mole of atoms

extended XYZ file:
```
21
Lattice="2.918 -5.054 0.000 2.918 5.054 0.000 0.000 0.000 10.212" Properties=species:S:1:pos:R:3 pbc="T T T"
Ba 2.918 -1.685 5.106
Ba 2.918 1.685 0.000
Ba 0.000 0.000 1.998
Ba 0.000 0.000 8.214
Mg 0.000 0.000 5.106
Rh 2.918 1.685 6.549
Rh 2.918 -1.685 1.366
Rh 2.918 -1.685 8.846
Rh 2.918 1.685 3.664
O 1.613 0.931 5.106
O 2.918 -3.225 0.000
O 1.584 -0.915 0.000
O 4.223 0.931 5.106
O 2.918 3.191 5.106
O 4.251 -0.915 0.000
O 1.496 -2.505 2.615
O 2.918 -0.043 7.597
O 1.496 -2.505 7.597
O 2.918 -0.043 2.615
O 4.339 -2.505 2.615
O 4.339 -2.505 7.597
```